Record 1
Material: ZnCuGeAu
Method: DFT, PBE
State: optimized geometry

Values from the calculation:
**ΔH_f (0 K)**: 0.090 eV per atom
**DOS(E_F)**: 2.36 states/eV/f.u.
**Total energy**: -12.91 eV for the cell shown

a b c (Å): 4.5013 4.5013 4.5013
angles (deg): 60.00 60.00 60.00
Closest atoms and distances in Å follow each position.
Positions (direct):
1 Ge 0.2500 0.2500 0.2500  4 Zn 2.76, 4 Cu 2.76
2 Au 0.7500 0.7500 0.7500  4 Cu 2.76, 4 Zn 2.76
3 Zn 0.0000 0.0000 0.0000  4 Au 2.76, 4 Ge 2.76
4 Cu 0.5000 0.5000 0.5000  4 Ge 2.76, 4 Au 2.76

---

Record 2
Material: Cu2H2Au
Method: DFT, PBE
State: optimized geometry

Values from the calculation:
**Offset from the most stable computed form**: 50 meV per atom
**DOS(E_F)**: 0.92 states/eV/f.u.
**Total energy**: -34.18 eV for the cell shown

a b c (Å): 5.5983 5.5983 3.6099
angles (deg): 90.00 90.00 90.00
Closest atoms and distances in Å follow each position.
Positions (direct):
1 H 0.2551 0.7551 0.0000  2 Cu 1.80, 2 Au 1.98
2 H 0.7551 0.7449 0.0000  2 Cu 1.80, 2 Au 1.98
3 H 0.7449 0.2449 0.0000  2 Cu 1.80, 2 Au 1.98
4 H 0.2449 0.2551 0.0000  2 Cu 1.80, 2 Au 1.98
5 Au 0.0000 0.0000 0.0000  4 H 1.98
6 Au 0.5000 0.5000 0.0000  4 H 1.98
7 Cu 0.2551 0.7551 0.5000  2 H 1.80
8 Cu 0.7551 0.7449 0.5000  2 H 1.80
9 Cu 0.7449 0.2449 0.5000  2 H 1.80
10 Cu 0.2449 0.2551 0.5000  2 H 1.80

---

Record 3
Material: CuHAu
Method: DFT, PBE
State: optimized geometry

Values from the calculation:
**Offset from the most stable computed form**: 0 meV per atom
**DOS(E_F)**: 0.85 states/eV/f.u.
**Total energy**: -20.65 eV for the cell shown

a b c (Å): 2.9228 5.2437 6.5514
angles (deg): 128.23 116.94 73.12
Closest atoms and distances in Å follow each position.
Positions (direct):
1 H 0.1992 0.7341 0.0675  3 Cu 1.79-1.83, 1 Au 1.94
2 H 0.8008 0.2659 0.9325  3 Cu 1.79-1.83, 1 Au 1.94
3 Au 0.7804 0.7973 0.6745  1 H 1.94
4 Au 0.2196 0.2027 0.3255  1 H 1.94
5 Cu 0.8860 0.6811 0.2253  3 H 1.79-1.83
6 Cu 0.1140 0.3189 0.7747  3 H 1.79-1.83

---

Record 4
Material: Cu2HAu2
Method: DFT, PBE
State: optimized geometry

Values from the calculation:
**Offset from the most stable computed form**: 40 meV per atom
**DOS(E_F)**: 1.21 states/eV/f.u.
**Total energy**: -33.64 eV for the cell shown

a b c (Å): 5.5646 5.5646 4.4540
angles (deg): 90.00 90.00 90.00
Closest atoms and distances in Å follow each position.
Positions (direct):
1 H 0.0000 0.0000 0.0000  4 Au 2.06
2 H 0.5000 0.5000 0.0000  4 Au 2.06
3 Au 0.3257 0.8257 0.0000  2 H 2.06
4 Au 0.8257 0.6743 0.0000  2 H 2.06
5 Au 0.6743 0.1743 0.0000  2 H 2.06
6 Au 0.1743 0.3257 0.0000  2 H 2.06
7 Cu 0.1540 0.6540 0.5000  1 Cu 2.42, 2 Au 2.60
8 Cu 0.6540 0.8460 0.5000  1 Cu 2.42, 2 Au 2.60
9 Cu 0.8460 0.3460 0.5000  1 Cu 2.42, 2 Au 2.60
10 Cu 0.3460 0.1540 0.5000  1 Cu 2.42, 2 Au 2.60

---

Record 5
Material: Cu2HAu2
Method: DFT, PBE
State: optimized geometry

Values from the calculation:
**Offset from the most stable computed form**: 0 meV per atom
**DOS(E_F)**: 1.43 states/eV/f.u.
**Total energy**: -34.04 eV for the cell shown

a b c (Å): 5.2702 5.2702 4.8849
angles (deg): 90.00 90.00 90.00
Closest atoms and distances in Å follow each position.
Positions (direct):
1 H 0.0000 0.0000 0.0000  4 Cu 1.94
2 H 0.5000 0.5000 0.0000  4 Cu 1.94
3 Au 0.1817 0.6817 0.5000  2 Cu 2.65, 5 Au 2.71-2.73
4 Au 0.6817 0.8183 0.5000  2 Cu 2.65, 5 Au 2.71-2.73
5 Au 0.8183 0.3183 0.5000  2 Cu 2.65, 5 Au 2.71-2.73
6 Au 0.3183 0.1817 0.5000  2 Cu 2.65, 5 Au 2.71-2.73
7 Cu 0.3210 0.8210 0.0000  2 H 1.94
8 Cu 0.8210 0.6790 0.0000  2 H 1.94
9 Cu 0.6790 0.1790 0.0000  2 H 1.94
10 Cu 0.1790 0.3210 0.0000  2 H 1.94

---

Record 6
Material: Cu5H12Au3
Method: DFT, PBE
State: optimized geometry

Values from the calculation:
**DOS(E_F)**: 4.06 states/eV/f.u.
**Total energy**: -253.92 eV for the cell shown

a b c (Å): 9.6867 9.6867 9.6867
angles (deg): 109.47 109.47 109.47
Closest atoms and distances in Å follow each position.
Positions (direct):
1 Au 0.7500 0.3750 0.1250  4 H 1.81
2 Au 0.8750 0.7500 0.1250  4 H 1.81
3 Au 0.3750 0.7500 0.6250  4 H 1.81
4 Au 0.2500 0.1250 0.3750  4 H 1.81
5 Au 0.8750 0.1250 0.2500  4 H 1.81
6 Au 0.3750 0.6250 0.2500  4 H 1.81
7 Au 0.6250 0.3750 0.7500  4 H 1.81
8 Au 0.1250 0.8750 0.7500  4 H 1.81
9 Au 0.7500 0.8750 0.6250  4 H 1.81
10 Au 0.6250 0.2500 0.3750  4 H 1.81
11 Au 0.1250 0.2500 0.8750  4 H 1.81
12 Au 0.2500 0.6250 0.8750  4 H 1.81
13 Cu 0.1250 0.3750 0.2500  4 H 1.85
14 Cu 0.0000 0.5000 0.0000  6 H 1.80
15 Cu 0.0000 0.0000 0.0000  6 H 1.80
16 Cu 0.3750 0.2500 0.1250  4 H 1.85
17 Cu 0.5000 0.0000 0.5000  6 H 1.80
18 Cu 0.5000 0.5000 0.0000  6 H 1.80
19 Cu 0.1250 0.7500 0.3750  4 H 1.85
20 Cu 0.7500 0.1250 0.8750  4 H 1.85
21 Cu 0.7500 0.6250 0.3750  4 H 1.85
22 Cu 0.3750 0.1250 0.7500  4 H 1.85
23 Cu 0.6250 0.8750 0.2500  4 H 1.85
24 Cu 0.5000 0.5000 0.5000  6 H 1.80
25 Cu 0.5000 0.0000 0.0000  6 H 1.80
26 Cu 0.0000 0.0000 0.5000  6 H 1.80
27 Cu 0.2500 0.3750 0.6250  4 H 1.85
28 Cu 0.2500 0.8750 0.1250  4 H 1.85
29 Cu 0.0000 0.5000 0.5000  6 H 1.80
30 Cu 0.8750 0.2500 0.6250  4 H 1.85
31 Cu 0.6250 0.7500 0.8750  4 H 1.85
32 Cu 0.8750 0.6250 0.7500  4 H 1.85
33 H 0.6103 0.1570 0.9581  2 Cu 1.80-1.85, 1 Au 1.81
34 H 0.3478 0.4581 0.3011  2 Cu 1.80-1.85, 1 Au 1.81
35 H 0.0419 0.3430 0.3897  2 Cu 1.80-1.85, 1 Au 1.81
36 H 0.4581 0.1103 0.1570  2 Cu 1.80-1.85, 1 Au 1.81
37 H 0.4532 0.6103 0.6522  2 Cu 1.80-1.85, 1 Au 1.81
38 H 0.0419 0.6989 0.1522  2 Cu 1.80-1.85, 1 Au 1.81
39 H 0.3478 0.8897 0.5468  2 Cu 1.80-1.85, 1 Au 1.81
40 H 0.1989 0.0468 0.1570  2 Cu 1.80-1.85, 1 Au 1.81
41 H 0.6989 0.0419 0.6522  2 Cu 1.80-1.85, 1 Au 1.81
42 H 0.6103 0.4532 0.1522  2 Cu 1.80-1.85, 1 Au 1.81
43 H 0.8897 0.5419 0.3430  2 Cu 1.80-1.85, 1 Au 1.81
44 H 0.8478 0.8011 0.9581  2 Cu 1.80-1.85, 1 Au 1.81
45 H 0.1570 0.6103 0.4581  2 Cu 1.80-1.85, 1 Au 1.81
46 H 0.3430 0.3011 0.9532  2 Cu 1.80-1.85, 1 Au 1.81
47 H 0.9532 0.8011 0.3430  2 Cu 1.80-1.85, 1 Au 1.81
48 H 0.5468 0.1570 0.6989  2 Cu 1.80-1.85, 1 Au 1.81
49 H 0.9532 0.1522 0.1103  2 Cu 1.80-1.85, 1 Au 1.81
50 H 0.5419 0.6522 0.1989  2 Cu 1.80-1.85, 1 Au 1.81
51 H 0.8478 0.0468 0.3897  2 Cu 1.80-1.85, 1 Au 1.81
52 H 0.1570 0.5468 0.1989  2 Cu 1.80-1.85, 1 Au 1.81
53 H 0.3430 0.0419 0.8897  2 Cu 1.80-1.85, 1 Au 1.81
54 H 0.6989 0.6570 0.5468  2 Cu 1.80-1.85, 1 Au 1.81
55 H 0.8011 0.8478 0.4581  2 Cu 1.80-1.85, 1 Au 1.81
56 H 0.8897 0.3478 0.0468  2 Cu 1.80-1.85, 1 Au 1.81
57 H 0.3011 0.3430 0.4532  2 Cu 1.80-1.85, 1 Au 1.81
58 H 0.1989 0.1522 0.5419  2 Cu 1.80-1.85, 1 Au 1.81
59 H 0.1103 0.6522 0.9532  2 Cu 1.80-1.85, 1 Au 1.81
60 H 0.1522 0.9532 0.6103  2 Cu 1.80-1.85, 1 Au 1.81
61 H 0.6570 0.9581 0.1103  2 Cu 1.80-1.85, 1 Au 1.81
62 H 0.8430 0.4532 0.8011  2 Cu 1.80-1.85, 1 Au 1.81
63 H 0.4581 0.3478 0.8011  2 Cu 1.80-1.85, 1 Au 1.81
64 H 0.4532 0.8430 0.3011  2 Cu 1.80-1.85, 1 Au 1.81
65 H 0.0468 0.8478 0.8897  2 Cu 1.80-1.85, 1 Au 1.81
66 H 0.0468 0.1989 0.6570  2 Cu 1.80-1.85, 1 Au 1.81
67 H 0.8430 0.3897 0.5419  2 Cu 1.80-1.85, 1 Au 1.81
68 H 0.1522 0.1989 0.0419  2 Cu 1.80-1.85, 1 Au 1.81
69 H 0.6570 0.6989 0.0468  2 Cu 1.80-1.85, 1 Au 1.81
70 H 0.3011 0.9581 0.3478  2 Cu 1.80-1.85, 1 Au 1.81
71 H 0.3897 0.5468 0.8478  2 Cu 1.80-1.85, 1 Au 1.81
72 H 0.1103 0.4581 0.6570  2 Cu 1.80-1.85, 1 Au 1.81
73 H 0.8011 0.9532 0.8430  2 Cu 1.80-1.85, 1 Au 1.81
74 H 0.6522 0.1103 0.4532  2 Cu 1.80-1.85, 1 Au 1.81
75 H 0.5419 0.8897 0.8430  2 Cu 1.80-1.85, 1 Au 1.81
76 H 0.9581 0.3011 0.8478  2 Cu 1.80-1.85, 1 Au 1.81
77 H 0.5468 0.3897 0.3478  2 Cu 1.80-1.85, 1 Au 1.81
78 H 0.9581 0.6570 0.6103  2 Cu 1.80-1.85, 1 Au 1.81
79 H 0.6522 0.5419 0.6989  2 Cu 1.80-1.85, 1 Au 1.81
80 H 0.3897 0.8430 0.0419  2 Cu 1.80-1.85, 1 Au 1.81